# Na2PaPN4

A geometry-optimized Na2PaPN4 structure (PBE-GGA, Alexandria via LeMat-Bulk).

The structure in POSCAR format:
```
Na2PaPN4
1.0
5.2044 0.0000 0.0000
0.0000 3.6469 0.0000
-1.3309 0.0000 5.8204
Na Pa P N
2 1 1 4
Direct
0.0000 0.0000 0.0000 Na
0.5000 0.5000 0.0000 Na
0.0000 0.5000 0.5000 Pa
0.5000 0.0000 0.5000 P
0.2364 0.5000 0.2748 N
0.3046 0.0000 0.6752 N
0.6954 0.0000 0.3248 N
0.7636 0.5000 0.7252 N
```

Summary:
The value obtained for the uncorrected formation energy is -0.37 eV per atom. As for the symmetry: No. 10. The final energy is -6.72 eV/atom.

=====

# PmH6Pd3

A geometry-optimized PmH6Pd3 structure (PBE-GGA, Alexandria via LeMat-Bulk).

The structure in POSCAR format:
```
PmH6Pd3
1.0
7.0774 0.0000 0.0000
0.0000 3.8752 0.0000
-1.8870 0.0000 7.1915
Pm H Pd
2 12 6
Direct
0.2024 0.2500 0.1497 Pm
0.7976 0.7500 0.8503 Pm
0.0110 0.7500 0.2106 H
0.1155 0.2500 0.4722 H
0.1405 0.7500 0.9660 H
0.3241 0.7500 0.3481 H
0.3459 0.7500 0.6493 H
0.4171 0.2500 0.8796 H
0.5829 0.7500 0.1204 H
0.6541 0.2500 0.3507 H
0.6759 0.2500 0.6519 H
0.8595 0.2500 0.0340 H
0.8845 0.7500 0.5278 H
0.9890 0.2500 0.7894 H
0.1280 0.7500 0.4500 Pd
0.3753 0.7500 0.8939 Pd
0.4285 0.2500 0.6186 Pd
0.5715 0.7500 0.3814 Pd
0.6247 0.2500 0.1061 Pd
0.8720 0.2500 0.5500 Pd
```

Summary:
As for the symmetry: No. 11. The final energy is -4.34 eV/atom.

=====

# RbLa2Ge2

A geometry-optimized RbLa2Ge2 structure (PBE-GGA, Alexandria via LeMat-Bulk).

The structure in POSCAR format:
```
RbLa2Ge2
1.0
-2.6377 2.6377 6.0646
2.6377 -2.6377 6.0646
2.6377 2.6377 -6.0646
Rb La Ge
1 2 2
Direct
0.0000 0.0000 0.0000 Rb
0.2500 0.7500 0.5000 La
0.7500 0.2500 0.5000 La
0.3900 0.3900 0.0000 Ge
0.6100 0.6100 0.0000 Ge
```

Summary:
The formation energy comes out at -0.231 eV per atom. As for the symmetry: No. 139. The final energy is -4.24 eV/atom.

=====

# Li2NdMg

A geometry-optimized Li2NdMg structure (PBE-GGA, Alexandria via LeMat-Bulk).

The structure in POSCAR format:
```
Li2NdMg
1.0
1.6760 0.9676 10.4875
-1.6760 0.9676 10.4875
0.0000 -1.9353 10.4875
Li Nd Mg
2 1 1
Direct
0.0000 0.0000 0.0000 Li
0.1804 0.1804 0.1804 Li
0.4233 0.4233 0.4233 Nd
0.5904 0.5904 0.5904 Mg
```

Summary:
The formation energy comes out at 0.092 eV per atom. As for the symmetry: No. 160. The final energy is -2.46 eV/atom.

=====

# BiBrCl2

A geometry-optimized BiBrCl2 structure (PBE-GGA, Alexandria via LeMat-Bulk).

The structure in POSCAR format:
```
BiBrCl2
1.0
0.0000 3.6053 3.6053
3.6053 0.0000 3.6053
3.6053 3.6053 0.0000
Bi Br Cl
1 1 2
Direct
0.0000 0.0000 0.0000 Bi
0.5000 0.5000 0.5000 Br
0.2500 0.2500 0.2500 Cl
0.7500 0.7500 0.7500 Cl
```

Summary:
The value obtained for the uncorrected formation energy is -0.30 eV per atom. As for the symmetry: No. 225. The final energy is -2.61 eV/atom.

=====

# Li2NdPdO4

A geometry-optimized Li2NdPdO4 structure (PBE-GGA, Alexandria via LeMat-Bulk).

The structure in POSCAR format:
```
Li2NdPdO4
1.0
-2.7346 2.7346 3.1260
2.7346 -2.7346 3.1260
2.7346 2.7346 -3.1260
Li Nd Pd O
2 1 1 4
Direct
0.2500 0.7500 0.5000 Li
0.7500 0.2500 0.5000 Li
0.0000 0.0000 0.0000 Nd
0.5000 0.5000 0.0000 Pd
0.0835 0.5424 0.0000 O
0.4576 0.4576 0.5411 O
0.5424 0.0835 0.0000 O
0.9165 0.9165 0.4589 O
```

Summary:
The value obtained for the uncorrected formation energy is -1.65 eV per atom. As for the symmetry: No. 121. The final energy is -5.85 eV/atom.

=====

# Ce2TmPd

A geometry-optimized Ce2TmPd structure (PBE-GGA, Alexandria via LeMat-Bulk).

The structure in POSCAR format:
```
Ce2TmPd
1.0
3.7279 0.0000 0.0000
0.0000 3.7279 0.0000
0.0000 0.0000 7.6380
Ce Tm Pd
2 1 1
Direct
0.0000 0.0000 0.2019 Ce
0.0000 0.0000 0.7981 Ce
0.5000 0.5000 0.5000 Tm
0.5000 0.5000 0.0000 Pd
```

Summary:
The formation energy comes out at -0.233 eV per atom. As for the symmetry: No. 123. The final energy is -5.62 eV/atom.

=====

# Nd2PdPt

A geometry-optimized Nd2PdPt structure (PBE-GGA, Alexandria via LeMat-Bulk).

The structure in POSCAR format:
```
Nd2PdPt
1.0
5.1458 0.0000 0.0000
0.0000 5.1458 0.0000
0.0000 0.0000 3.5631
Nd Pd Pt
2 1 1
Direct
0.0000 0.5000 0.0000 Nd
0.5000 0.0000 0.0000 Nd
0.0000 0.0000 0.5000 Pd
0.5000 0.5000 0.5000 Pt
```

Summary:
The formation energy comes out at -0.900 eV per atom. As for the symmetry: No. 123. The final energy is -6.09 eV/atom.

=====

> Which value of final energy does entry 1 give?

-6.72 eV/atom

=====

> Look up the final energy of the seventh one.

-5.62 eV/atom